(1)
# KAgPt4 (GGA-PBE, optimized geometry)
data_KAgPt4
_chemical_formula_sum 'K4 Ag4 Pt16'
_space_group_name_H-M_alt 'F -4 3 m'
_space_group_IT_number 216
_space_group_name_Hall 'F -4 2 3'
_cell_length_a 7.657
_cell_length_b 7.657
_cell_length_c 7.657
_cell_angle_alpha 90.00
_cell_angle_beta 90.00
_cell_angle_gamma 90.00
loop_
_atom_site_label
_atom_site_fract_x
_atom_site_fract_y
_atom_site_fract_z
_atom_site_occupancy
K1 0.000 0.000 0.000 1
Ag1 0.250 0.250 0.250 1
Pt1 0.125 0.125 0.625 1
# * ΔH_f (0 K): -0.051 eV per atom
# * DFT total energy: -4.74 eV/atom
# * density of states at the Fermi level: 0.31 states/eV/atom

(2)
# PrAg2Hg4 (GGA-PBE, optimized geometry)
data_PrAg2Hg4
_chemical_formula_sum 'Pr2 Ag4 Hg8'
_space_group_name_H-M_alt 'C 1 2/m 1'
_space_group_IT_number 12
_space_group_name_Hall '-C 2y'
_cell_length_a 9.334
_cell_length_b 7.555
_cell_length_c 5.627
_cell_angle_alpha 90.00
_cell_angle_beta 126.43
_cell_angle_gamma 90.00
loop_
_atom_site_label
_atom_site_fract_x
_atom_site_fract_y
_atom_site_fract_z
_atom_site_occupancy
Pr1 0.000 0.000 0.000 1
Ag1 0.001 0.500 0.751 1
Hg1 0.196 0.196 0.697 1
# * ΔH_f (0 K): -0.170 eV per atom
# * DFT total energy: -1.84 eV/atom
# * density of states at the Fermi level: 0.30 states/eV/atom
# * energy relative to the lowest polymorph listed for this composition: 0.022 eV/atom

(3)
# Pm5HoZn4 (GGA-PBE, optimized geometry)
data_Pm5HoZn4
_chemical_formula_sum 'Pm5 Ho1 Zn4'
_space_group_name_H-M_alt 'P 4/m m m'
_space_group_IT_number 123
_space_group_name_Hall '-P 4 2'
_cell_length_a 3.654
_cell_length_b 3.654
_cell_length_c 19.633
_cell_angle_alpha 90.00
_cell_angle_beta 90.00
_cell_angle_gamma 90.00
loop_
_atom_site_label
_atom_site_fract_x
_atom_site_fract_y
_atom_site_fract_z
_atom_site_occupancy
Pm1 0.000 0.000 0.000 1
Pm2 0.000 0.000 0.186 1
Pm3 0.000 0.000 0.372 1
Ho1 0.500 0.500 0.500 1
Zn1 0.500 0.500 0.094 1
Zn2 0.500 0.500 0.280 1
# * ΔH_f (0 K): -0.247 eV per atom
# * DFT total energy: -3.59 eV/atom
# * density of states at the Fermi level: 1.13 states/eV/atom

(4)
# La7Ho12Sc (GGA-PBE, optimized geometry)
data_La7Ho12Sc
_chemical_formula_sum 'La14 Ho24 Sc2'
_space_group_name_H-M_alt 'I m -3'
_space_group_IT_number 204
_space_group_name_Hall '-I 2 2 3'
_cell_length_a 11.479
_cell_length_b 11.479
_cell_length_c 11.479
_cell_angle_alpha 90.00
_cell_angle_beta 90.00
_cell_angle_gamma 90.00
loop_
_atom_site_label
_atom_site_fract_x
_atom_site_fract_y
_atom_site_fract_z
_atom_site_occupancy
La1 0.000 0.000 0.500 1
La2 0.250 0.250 0.250 1
Ho1 0.000 0.215 0.215 1
Sc1 0.000 0.000 0.000 1
# * ΔH_f (0 K): 0.648 eV per atom
# * DFT total energy: -4.14 eV/atom
# * density of states at the Fermi level: 1.31 states/eV/atom
# * energy relative to the lowest polymorph listed for this composition: 0.399 eV/atom